No. 1
DFT (PBE) results for crystalline Hf2Zn2Ir at its relaxed geometry.

## Properties
- E above lowest polymorph (kJ per mole of atoms) = 0.0

Lattice parameters (Å, degrees): 6.775 6.775 3.694 90.00 90.00 90.00
Atoms (fractional coordinates):
Zn 0.874 0.626 0.000
Zn 0.126 0.374 0.000
Zn 0.626 0.126 0.000
Zn 0.374 0.874 0.000
Ir 0.000 0.000 0.000
Ir 0.500 0.500 0.000
Hf 0.176 0.676 0.500
Hf 0.324 0.176 0.500
Hf 0.824 0.324 0.500
Hf 0.676 0.824 0.500

---

No. 2
DFT (PBE) results for crystalline Ca12Ga5H2 at its relaxed geometry.

## Properties
- total energy (eV/atom) = -2.64

Lattice parameters (Å, degrees): 8.997 8.427 9.446 104.62 90.00 122.27
Atoms (fractional coordinates):
Ca 0.879 0.294 0.568
Ca 0.047 0.093 0.834
Ca 0.869 0.313 0.092
Ca 0.555 0.687 0.908
Ca 0.507 0.013 0.744
Ca 0.953 0.907 0.166
Ca 0.121 0.706 0.432
Ca 0.586 0.706 0.432
Ca 0.131 0.687 0.908
Ca 0.414 0.294 0.568
Ca 0.445 0.313 0.092
Ca 0.493 0.987 0.256
Ga 0.288 0.576 0.635
Ga 0.277 0.553 0.132
Ga 0.723 0.447 0.868
Ga 0.712 0.424 0.365
Ga 0.000 0.000 0.500
H 0.163 0.000 0.000
H 0.837 0.000 0.000

---

No. 3
DFT (PBE) results for crystalline MnCu2Cl at its relaxed geometry.

## Properties
- E_form (uncorrected) (eV per atom) = 0.446
- E above lowest polymorph (kJ per mole of atoms) = 41.9

Lattice parameters (Å, degrees): 4.386 4.386 4.386 60.00 60.00 60.00
Atoms (fractional coordinates):
Mn 0.750 0.750 0.750
Cu 0.000 0.000 0.000
Cu 0.250 0.250 0.250
Cl 0.500 0.500 0.500

---

No. 4
DFT (PBE) results for crystalline LiCd2CuPd at its relaxed geometry.

## Properties
- total energy (eV/atom) = -2.34

Lattice parameters (Å, degrees): 4.886 4.272 4.886 90.00 90.00 90.00
Atoms (fractional coordinates):
Pd 0.500 0.500 0.500
Cd 0.000 0.000 0.500
Cd 0.500 0.000 0.000
Cu 0.000 0.000 0.000
Li 0.000 0.500 0.000

---

No. 5
DFT (PBE) results for crystalline Sr3BiH2 at its relaxed geometry.

## Properties
- E above lowest polymorph (kJ per mole of atoms) = 0.0

Lattice parameters (Å, degrees): 5.568 7.809 7.809 101.39 90.00 90.00
Atoms (fractional coordinates):
Bi 0.250 0.313 0.687
Bi 0.750 0.687 0.313
H 0.500 0.852 0.852
H 0.500 0.148 0.148
H 0.000 0.852 0.852
H 0.000 0.148 0.148
Sr 0.750 0.111 0.889
Sr 0.250 0.405 0.180
Sr 0.250 0.889 0.111
Sr 0.250 0.820 0.595
Sr 0.750 0.180 0.405
Sr 0.750 0.595 0.820

---

No. 6
DFT (PBE) results for crystalline Be3CoI at its relaxed geometry.

## Properties
- E_form (uncorrected) (eV per atom) = 2.091
- E above lowest polymorph (kJ per mole of atoms) = 119.3

Lattice parameters (Å, degrees): 4.658 4.658 4.658 90.00 90.00 90.00
Atoms (fractional coordinates):
Be 0.000 0.500 0.000
Be 0.500 0.000 0.000
Be 0.000 0.000 0.500
Co 0.500 0.500 0.500
I 0.000 0.000 0.000

---

No. 7
DFT (PBE) results for crystalline CrTe2As at its relaxed geometry.

## Properties
- E_form (uncorrected) (eV per atom) = 0.141

Lattice parameters (Å, degrees): 4.149 4.149 7.137 72.91 72.91 60.11
Atoms (fractional coordinates):
Te 0.004 0.004 0.985
Te 0.496 0.496 0.515
Cr 0.750 0.750 0.750
As 0.250 0.250 0.250

---

No. 8
DFT (PBE) results for crystalline CdSnH2 at its relaxed geometry.

## Properties
- E above lowest polymorph (kJ per mole of atoms) = 33.4

Lattice parameters (Å, degrees): 5.434 5.434 5.828 62.21 62.21 90.00
Atoms (fractional coordinates):
H 0.528 0.125 0.250
H 0.222 0.625 0.250
H 0.875 0.778 0.750
H 0.375 0.472 0.750
Cd 0.250 0.750 0.500
Cd 0.500 0.500 0.000
Sn 0.750 0.250 0.500
Sn 0.000 0.000 0.000

---

No. 9
DFT (PBE) results for crystalline YHf2ZrNi at its relaxed geometry.

## Properties
- total energy (eV/atom) = -6.84

Lattice parameters (Å, degrees): 5.154 4.545 5.154 90.00 90.00 90.00
Atoms (fractional coordinates):
Y 0.000 0.000 0.000
Hf 0.000 0.000 0.500
Hf 0.500 0.000 0.000
Ni 0.000 0.500 0.000
Zr 0.500 0.500 0.500

---

No. 10
DFT (PBE) results for crystalline Ca2PaAlN4 at its relaxed geometry.

## Properties
- E_form (uncorrected) (eV per atom) = -1.201

Lattice parameters (Å, degrees): 3.504 5.557 5.907 106.74 90.00 90.00
Atoms (fractional coordinates):
Al 0.000 0.000 0.000
Ca 0.000 0.500 0.500
Ca 0.500 0.000 0.500
N 0.500 0.754 0.779
N 0.000 0.242 0.790
N 0.500 0.246 0.221
N 0.000 0.758 0.210
Pa 0.500 0.500 0.000

---

No. 11
DFT (PBE) results for crystalline Pu2CoSi6Os at its relaxed geometry.

## Properties
- E_form (uncorrected) (eV per atom) = -0.362

Lattice parameters (Å, degrees): 5.794 5.794 12.356 76.44 76.44 60.00
Atoms (fractional coordinates):
Pu 0.875 0.875 0.375
Pu 0.280 0.280 0.160
Pu 0.720 0.720 0.840
Pu 0.125 0.125 0.625
Si 0.661 0.071 0.607
Si 0.811 0.226 0.152
Si 0.811 0.811 0.152
Si 0.774 0.189 0.848
Si 0.339 0.339 0.393
Si 0.661 0.661 0.607
Si 0.071 0.661 0.607
Si 0.226 0.811 0.152
Si 0.189 0.774 0.848
Si 0.339 0.929 0.393
Si 0.189 0.189 0.848
Si 0.929 0.339 0.393
Os 0.423 0.423 0.731
Os 0.577 0.577 0.269
Co 0.500 0.500 0.500
Co 0.000 0.000 0.000

---

No. 12
DFT (PBE) results for crystalline ScNi3H at its relaxed geometry.

## Properties
- E above lowest polymorph (kJ per mole of atoms) = 2.8

Lattice parameters (Å, degrees): 5.427 5.223 4.339 89.98 91.06 61.20
Atoms (fractional coordinates):
Ni 0.182 0.198 0.668
Ni 0.776 0.900 0.157
Ni 0.325 0.365 0.162
Ni 0.621 0.213 0.658
Ni 0.325 0.887 0.163
Ni 0.621 0.743 0.659
Sc 0.116 0.731 0.671
Sc 0.833 0.372 0.156
H 0.830 0.373 0.661
H 0.436 0.570 0.359

---

No. 13
DFT (PBE) results for crystalline NiBiPd6 at its relaxed geometry.

## Properties
- E above lowest polymorph (kJ per mole of atoms) = 23.3

Lattice parameters (Å, degrees): 5.769 5.769 5.763 105.89 105.89 120.28
Atoms (fractional coordinates):
Bi 0.000 0.000 0.000
Pd 0.027 0.496 0.254
Pd 0.504 0.973 0.746
Pd 0.735 0.735 0.261
Pd 0.496 0.027 0.254
Pd 0.265 0.265 0.739
Pd 0.973 0.504 0.746
Ni 0.500 0.500 0.500

---

No. 14
DFT (PBE) results for crystalline Pa2NiSb2 at its relaxed geometry.

## Properties
- E_form (uncorrected) (eV per atom) = -0.331

Lattice parameters (Å, degrees): 3.780 5.772 11.049 90.00 90.00 90.00
Atoms (fractional coordinates):
Sb 0.000 0.678 0.147
Sb 0.000 0.822 0.647
Sb 0.000 0.322 0.853
Sb 0.000 0.178 0.353
Pa 0.500 0.237 0.120
Pa 0.500 0.763 0.880
Pa 0.500 0.737 0.380
Pa 0.500 0.263 0.620
Ni 0.000 0.500 0.500
Ni 0.000 0.000 0.000

---

No. 15
DFT (PBE) results for crystalline CoNiCl2 at its relaxed geometry.

## Properties
- E_form (uncorrected) (eV per atom) = -0.153
- E above lowest polymorph (kJ per mole of atoms) = 0.0

Lattice parameters (Å, degrees): 3.375 3.665 6.604 90.62 90.00 90.00
Atoms (fractional coordinates):
Co 0.000 0.277 0.578
Cl 0.500 0.479 0.372
Cl 0.000 0.982 0.876
Ni 0.500 0.762 0.674

---

No. 16
DFT (PBE) results for crystalline CeGa2Pd at its relaxed geometry.

## Properties
- total energy (eV/atom) = -4.96

Lattice parameters (Å, degrees): 5.493 6.798 8.473 90.00 90.00 90.00
Atoms (fractional coordinates):
Ga 0.875 0.052 0.188
Ga 0.625 0.448 0.688
Ga 0.125 0.948 0.812
Ga 0.125 0.552 0.812
Ga 0.375 0.552 0.312
Ga 0.875 0.448 0.188
Ga 0.375 0.948 0.312
Ga 0.625 0.052 0.688
Pd 0.139 0.750 0.086
Pd 0.861 0.250 0.914
Pd 0.639 0.250 0.414
Pd 0.361 0.750 0.586
Ce 0.868 0.750 0.454
Ce 0.368 0.250 0.046
Ce 0.632 0.750 0.954
Ce 0.132 0.250 0.546

---

In order of appearance, size of the total moment = 0.0 0.0 3.9 0.0 1.1 1.9 4.7 0.0 0.0 0.0 21.3 0.0 0.0 1.9 3.0 2.5 Bohr magnetons per cell.